! Ti3FeI | Alexandria | SCAN | single point on PBEsol structure; values from VASP
! Density of states at the Fermi level: 0.94 states/eV/atom
! Calculated volume: 18.52 A^3/atom
! Final energy: -20.24 eV/atom
! Raw formation energy: 0.357 eV per atom
&SYSTEM
  ibrav = 0, nat = 5, ntyp = 3
/
ATOMIC_SPECIES
Ti 47.87 Ti.upf
Fe 55.84 Fe.upf
I 126.90 I.upf
CELL_PARAMETERS angstrom
4.524 0.000 0.000
0.000 4.524 0.000
0.000 0.000 4.524
ATOMIC_POSITIONS crystal
Ti 0.000 0.000 0.500
Ti 0.500 0.000 0.000
Ti 0.000 0.500 0.000
Fe 0.000 0.000 0.000
I 0.500 0.500 0.500

! TlFeI3 | Alexandria | SCAN | single point on PBEsol structure; values from VASP
! Density of states at the Fermi level: 0.88 states/eV/atom
! Calculated volume: 32.01 A^3/atom
! Final energy: -40.36 eV/atom
! Raw formation energy: -0.214 eV per atom
&SYSTEM
  ibrav = 0, nat = 5, ntyp = 3
/
ATOMIC_SPECIES
I 126.90 I.upf
Fe 55.84 Fe.upf
Tl 204.38 Tl.upf
CELL_PARAMETERS angstrom
5.429 0.000 0.000
0.000 5.429 0.000
0.000 0.000 5.429
ATOMIC_POSITIONS crystal
I 0.000 0.000 0.500
I 0.000 0.500 0.000
I 0.500 0.000 0.000
Fe 0.000 0.000 0.000
Tl 0.500 0.500 0.500

! YFeI3 | Alexandria | SCAN | single point on PBEsol structure; values from VASP
! Density of states at the Fermi level: 1.29 states/eV/atom
! Calculated volume: 28.09 A^3/atom
! Final energy: -31.24 eV/atom
! Raw formation energy: -0.004 eV per atom
&SYSTEM
  ibrav = 0, nat = 5, ntyp = 3
/
ATOMIC_SPECIES
I 126.90 I.upf
Fe 55.84 Fe.upf
Y 88.91 Y.upf
CELL_PARAMETERS angstrom
-4.168 -2.569 -1.746
2.277 -4.514 1.206
-2.113 0.202 4.745
ATOMIC_POSITIONS crystal
I 0.000 0.000 0.500
I 0.500 0.000 0.000
I 0.000 0.500 0.000
Fe 0.000 0.000 0.000
Y 0.500 0.500 0.500

! ZrFe2I | Alexandria | SCAN | single point on PBEsol structure; values from VASP
! Density of states at the Fermi level: 0.55 states/eV/atom
! Calculated volume: 15.53 A^3/atom
! Final energy: -25.35 eV/atom
! Raw formation energy: 0.576 eV per atom
&SYSTEM
  ibrav = 0, nat = 4, ntyp = 3
/
ATOMIC_SPECIES
Zr 91.22 Zr.upf
Fe 55.84 Fe.upf
I 126.90 I.upf
CELL_PARAMETERS angstrom
4.445 0.000 0.000
2.222 3.849 0.000
2.222 1.283 3.629
ATOMIC_POSITIONS crystal
Zr 0.000 0.000 0.000
Fe 0.250 0.250 0.250
Fe 0.750 0.750 0.750
I 0.500 0.500 0.500